No. 1
Material: UInPd5
Method: DFT, PBE
State: relaxed

It has space group Imm2 (No. 44), with a = 5.402 Å, b = 8.980 Å, c = 7.224 Å, α = 90.00°, β = 90.00° and γ = 90.00°. The asymmetric unit holds U at (0.000, 0.000, 0.000), In at (0.000, 0.500, 0.156), Pd at (0.000, 0.000, 0.628), Pd at (0.000, 0.246, 0.847) and Pd at (0.249, 0.000, 0.299).

As for the formation energy: 0.22 eV/atom. The value obtained for the total energy is -5.4951 eV/atom. The density comes out at 8.39 g cm⁻³. Its crystal system is orthorhombic. The density of states at the Fermi level is 7.40 states/eV/f.u.



No. 2
Material: UInPd
Method: DFT, PBE
State: relaxed

It has space group P-62m (No. 189), with a = 7.3006 Å, b = 7.3006 Å, c = 4.2732 Å, α = 90.00°, β = 90.00° and γ = 120.00°. The asymmetric unit holds U at (0.0000, 0.5757, 0.0000), In at (0.0000, 0.2456, 0.5000), Pd at (0.0000, 0.0000, 0.0000) and Pd at (0.3333, 0.6667, 0.5000).

As for the formation energy: -0.21 eV/atom. The value obtained for the total energy is -6.6154 eV/atom. The density comes out at 11.60 g cm⁻³. Its crystal system is hexagonal. The density of states at the Fermi level is 6.73 states/eV/f.u.



No. 3
Material: UIn2Pd8
Method: DFT, PBE
State: relaxed

It has space group P-1 (No. 2), with a = 4.998 Å, b = 5.011 Å, c = 7.707 Å, α = 95.00°, β = 96.29° and γ = 97.33°. The asymmetric unit holds U at (0.000, 0.000, 0.000), In at (0.194, 0.406, 0.711), Pd at (0.093, 0.154, 0.356), Pd at (0.267, 0.525, 0.092), Pd at (0.364, 0.729, 0.454) and Pd at (0.450, 0.939, 0.817).

As for the formation energy: -0.42 eV/atom. The value obtained for the total energy is -5.7215 eV/atom. Its energy above the lowest structure with this stoichiometry is 42.9 meV per atom. The density comes out at 11.57 g cm⁻³. Its crystal system is triclinic. The density of states at the Fermi level is 10.05 states/eV/f.u.



No. 4
Material: UInPd
Method: DFT, PBE
State: relaxed

It has space group Fmmm (No. 69), with a = 5.630 Å, b = 7.632 Å, c = 12.038 Å, α = 90.00°, β = 90.00° and γ = 90.00°. The asymmetric unit holds U at (0.000, 0.166, 0.000), In at (0.250, 0.250, 0.250) and Pd at (0.000, 0.000, 0.386).

As for the formation energy: -0.13 eV/atom. The value obtained for the total energy is -6.5369 eV/atom. The density comes out at 11.79 g cm⁻³. Its crystal system is orthorhombic. The density of states at the Fermi level is 5.28 states/eV/f.u.



No. 5
Material: UInPd
Method: DFT, PBE
State: relaxed

It has space group P-6m2 (No. 187), with a = 4.9039 Å, b = 4.9039 Å, c = 3.0228 Å, α = 90.00°, β = 90.00° and γ = 120.00°. The asymmetric unit holds U at (0.0000, 0.0000, 0.0000), In at (0.6667, 0.3333, 0.5000) and Pd at (0.3333, 0.6667, 0.5000).

As for the formation energy: -0.20 eV/atom. The value obtained for the total energy is -6.6051 eV/atom. The density comes out at 12.11 g cm⁻³. Its crystal system is hexagonal. The density of states at the Fermi level is 5.23 states/eV/f.u.



No. 6
Material: U2InPd2
Method: DFT, PBE
State: relaxed

It has space group P4/mbm (No. 127), with a = 7.667 Å, b = 7.667 Å, c = 3.779 Å, α = 90.00°, β = 90.00° and γ = 90.00°. The asymmetric unit holds U at (0.167, 0.333, 0.000), In at (0.000, 0.000, 0.500) and Pd at (0.134, 0.634, 0.500).

As for the formation energy: -0.18 eV/atom. The value obtained for the total energy is -7.3249 eV/atom. The density comes out at 12.01 g cm⁻³. Its crystal system is tetragonal. The density of states at the Fermi level is 13.84 states/eV/f.u.



No. 7
Material: UIn2Pd
Method: DFT, PBE
State: relaxed

It has space group P4/mmm (No. 123), with a = 3.191 Å, b = 3.191 Å, c = 8.314 Å, α = 90.00°, β = 90.00° and γ = 90.00°. The asymmetric unit holds U at (0.000, 0.000, 0.000), In at (0.500, 0.500, 0.291) and Pd at (0.000, 0.000, 0.500).

As for the formation energy: -0.17 eV/atom. The value obtained for the total energy is -5.6606 eV/atom. The density comes out at 11.26 g cm⁻³. Its crystal system is tetragonal. The density of states at the Fermi level is 4.99 states/eV/f.u.



No. 8
Material: U4InPd15
Method: DFT, PBE
State: relaxed

It has space group P4/mmm (No. 123), with a = 4.134 Å, b = 4.134 Å, c = 20.548 Å, α = 90.00°, β = 90.00° and γ = 90.00°. The asymmetric unit holds U at (0.000, 0.000, 0.102), U at (0.000, 0.000, 0.305), In at (0.000, 0.000, 0.500), Pd at (0.000, 0.500, 0.000), Pd at (0.000, 0.500, 0.203), Pd at (0.000, 0.500, 0.401), Pd at (0.500, 0.500, 0.101), Pd at (0.500, 0.500, 0.303) and Pd at (0.500, 0.500, 0.500).

As for the formation energy: -0.52 eV/atom. The value obtained for the total energy is -6.8056 eV/atom. The density comes out at 12.59 g cm⁻³. Its crystal system is tetragonal. The density of states at the Fermi level is 33.27 states/eV/f.u.



No. 9
Material: UInPd
Method: DFT, PBE
State: relaxed

It has space group I4mm (No. 107), with a = 3.168 Å, b = 3.168 Å, c = 12.464 Å, α = 90.00°, β = 90.00° and γ = 90.00°. The asymmetric unit holds U at (0.000, 0.000, 0.000), In at (0.000, 0.000, 0.304) and Pd at (0.000, 0.000, 0.660).

As for the formation energy: -0.18 eV/atom. The value obtained for the total energy is -6.5874 eV/atom. The density comes out at 12.20 g cm⁻³. Its crystal system is tetragonal. The density of states at the Fermi level is 5.95 states/eV/f.u.



No. 10
Material: UIn2Pd9
Method: DFT, PBE
State: relaxed

It has space group P4/mmm (No. 123), with a = 4.081 Å, b = 4.081 Å, c = 12.189 Å, α = 90.00°, β = 90.00° and γ = 90.00°. The asymmetric unit holds U at (0.000, 0.000, 0.000), In at (0.000, 0.000, 0.340), Pd at (0.000, 0.500, 0.164), Pd at (0.000, 0.500, 0.500), Pd at (0.500, 0.500, 0.000) and Pd at (0.500, 0.500, 0.333).

As for the formation energy: -0.51 eV/atom. The value obtained for the total energy is -5.8028 eV/atom. The density comes out at 11.66 g cm⁻³. Its crystal system is tetragonal. The density of states at the Fermi level is 8.25 states/eV/f.u.



No. 11
Material: UIn2Pd8
Method: DFT, PBE
State: relaxed

It has space group C2/m (No. 12), with a = 14.558 Å, b = 4.187 Å, c = 6.459 Å, α = 90.00°, β = 106.94° and γ = 90.00°. The asymmetric unit holds U at (0.000, 0.000, 0.000), In at (0.217, 0.500, 0.653), Pd at (0.040, 0.500, 0.730), Pd at (0.094, 0.000, 0.447), Pd at (0.139, 0.500, 0.187) and Pd at (0.177, 0.000, 0.917).

As for the formation energy: -0.46 eV/atom. The value obtained for the total energy is -5.7644 eV/atom. Its energy above the lowest structure with this stoichiometry is 0.0 meV per atom. The density comes out at 11.63 g cm⁻³. Its crystal system is monoclinic. The density of states at the Fermi level is 9.38 states/eV/f.u.



No. 12
Material: UZnInPd
Method: DFT, PBE
State: relaxed

It has space group F-43m (No. 216), with a = 6.853 Å, b = 6.853 Å, c = 6.853 Å, α = 90.00°, β = 90.00° and γ = 90.00°. The asymmetric unit holds U at (0.000, 0.000, 0.000), Zn at (0.250, 0.250, 0.750), In at (0.000, 0.000, 0.500) and Pd at (0.250, 0.250, 0.250).

As for the formation energy: -0.14 eV/atom. The value obtained for the total energy is -5.2625 eV/atom. The density comes out at 10.83 g cm⁻³. Its crystal system is cubic. The density of states at the Fermi level is 10.20 states/eV/f.u.